Here is a relaxed structure of Rb3Np3TlSe8 from the Alexandria database. Energies are from GGA-PBE.

abc: 8.628 8.631 9.319
angles: 117.60 90.00 119.99
Each line ends with the local moment (μB).
Fractional positions:
1 Se 0.249 0.945 0.694  -0.14
2 Se 0.751 0.502 0.306  -0.14
3 Se 0.268 0.537 0.305  -0.09
4 Np 0.500 0.500 0.500  3.45
5 Rb 0.000 0.500 0.000  0.00
6 Tl 0.000 0.000 0.500  -0.05
7 Se 0.751 0.055 0.306  -0.14
8 Se 0.732 0.463 0.695  -0.09
9 Rb 0.500 0.500 0.000  0.00
10 Se 0.304 0.055 0.306  -0.14
11 Se 0.249 0.498 0.694  -0.14
12 Rb 0.000 0.000 0.000  0.00
13 Se 0.696 0.945 0.694  -0.14
14 Np 0.500 0.000 0.500  3.45
15 Np 0.000 0.500 0.500  3.45

Output
energy relative to the elements, uncorrected = -16.24 eV per formula unit
raw total energy = -5.880 eV per atom
symmetry = R-3m (166)